SiMo: relaxed, PBE-GGA.

Unit cell a=2.8201 b=2.8201 c=3.8964 alpha=90.00 beta=90.00 gamma=110.29
With the nearest neighbours (Å) after each atom.
Fractional coordinates of all 2 atoms:
Mo 0.0000 0.0000 0.0000  4 Si 2.53, 4 Mo 2.82
Si 0.5000 0.5000 0.5000  4 Mo 2.53, 4 Si 2.82

Values from the calculation:
The calculation puts the energy relative to the elements, uncorrected at -0.11 eV/f.u. For the calculated density, the calculation gives 7.085 g/cm3. The electronic total energy is -0.3006 hartree per atom.